Cs12Rb6H | GGA-PBE | relaxed

Results
The total energy comes out at -1.00 eV/atom. The value obtained for the spin magnetization is 0.000 μB per formula unit. As for the space-group type: R-3.

```
19
Lattice="8.6568 4.9980 7.3784 -8.6568 4.9980 7.3784 0.0000 -9.9961 7.3784" Properties=species:S:1:pos:R:3 pbc="T T T"
Cs -7.9973 2.2081 9.2422
Cs -5.9109 -5.8219 12.8929
Cs -2.9723 -0.3383 6.9470
Cs 2.0864 -8.0299 9.2422
Cs 1.7791 -2.4049 6.9470
Cs 1.1932 2.7432 6.9470
Cs -1.1932 -2.7432 15.1881
Cs -1.7791 2.4050 15.1881
Cs -2.0864 8.0299 12.8929
Cs 2.9723 0.3383 15.1881
Cs 5.9109 5.8218 9.2422
Cs 7.9973 -2.2081 12.8929
Rb -4.5685 -1.0370 11.7295
Rb -1.3862 -4.4749 10.4056
Rb -3.1823 3.4380 10.4056
Rb 3.1823 -3.4380 11.7295
Rb 1.3862 4.4749 11.7295
Rb 4.5685 1.0370 10.4056
H 0.0000 0.0000 0.0000
```

***

Sc2PbCN | GGA-PBE | relaxed

Results
The value obtained for the spin magnetization is 0.000 μB per formula unit. Its uncorrected formation energy is 682 meV/atom. As for the space-group type: P4/mmm.

```
5
Lattice="4.5588 0.0000 0.0000 0.0000 4.5588 0.0000 0.0000 0.0000 4.8152" Properties=species:S:1:pos:R:3 pbc="T T T"
Sc 0.0000 2.2794 0.0000
Sc 2.2794 0.0000 0.0000
Pb 0.0000 0.0000 2.4076
C 0.0000 0.0000 0.0000
N 2.2794 2.2794 2.4076
```

***

KCaCd | GGA-PBE | relaxed

Results
The value obtained for the calculated formation energy is 26 kJ/mol of formula units. The value obtained for the spin magnetization is 0.000 μB per formula unit. As for the space-group type: F-43m.

```
3
Lattice="0.0000 4.0320 4.0320 4.0320 0.0000 4.0320 4.0320 4.0320 0.0000" Properties=species:S:1:pos:R:3 pbc="T T T"
K 0.0000 0.0000 0.0000
Ca 4.0320 4.0320 4.0320
Cd 6.0480 6.0480 6.0480
```

***

ScBe2Mo | GGA-PBE | relaxed

Results
The excess energy over the best structure of this formula in the dataset is 0.118 eV/atom. The value obtained for the calculated formation energy is 31 kJ/mol of formula units. The value obtained for the spin magnetization is 0.000 μB per formula unit. As for the space-group type: P4/mmm.

```
4
Lattice="2.7738 0.0000 0.0000 0.0000 2.7738 0.0000 0.0000 0.0000 7.0626" Properties=species:S:1:pos:R:3 pbc="T T T"
Sc 0.0000 0.0000 0.0000
Be 1.3869 1.3869 1.8905
Be 1.3869 1.3869 5.1721
Mo 0.0000 0.0000 3.5313
```

***

Y2FeAg | GGA-PBE | relaxed

Results
The value obtained for the calculated formation energy is 99 kJ/mol of formula units. The value obtained for the spin magnetization is 2.105 μB per formula unit. As for the space-group type: F-43m.

```
4
Lattice="0.0000 3.4836 3.4836 3.4836 0.0000 3.4836 3.4836 3.4836 0.0000" Properties=species:S:1:pos:R:3 pbc="T T T"
Y 0.0000 0.0000 0.0000
Y 1.7418 1.7418 1.7418
Fe 5.2254 5.2254 5.2254
Ag 3.4836 3.4836 3.4836
```

***

Th3B2HRh9 | GGA-PBE | relaxed

Results
The total energy comes out at -7.86 eV/atom. The value obtained for the spin magnetization is 0.000 μB per formula unit. As for the space-group type: P-3m1.

```
15
Lattice="5.9926 0.0000 0.0000 -2.9963 5.1898 0.0000 0.0000 0.0000 7.3468" Properties=species:S:1:pos:R:3 pbc="T T T"
Th 0.0000 0.0000 0.0000
Th 0.0000 3.4598 4.8844
Th 2.9963 1.7299 2.4624
B 0.0000 3.4598 1.3216
B 2.9963 1.7299 6.0252
H 0.0000 0.0000 3.6734
Rh -1.4982 2.5949 0.0000
Rh 0.0000 1.6958 2.4671
Rh -1.5277 4.3419 2.4671
Rh 1.4686 0.8479 4.8797
Rh 2.9963 0.0000 0.0000
Rh 1.4982 2.5949 0.0000
Rh 1.5277 4.3419 2.4671
Rh 4.5240 0.8479 4.8797
Rh 2.9963 3.4939 4.8797
```

***

La7Nd2Zn2 | GGA-PBE | relaxed

Results
The value obtained for the calculated formation energy is 7 kJ/mol of formula units. The value obtained for the spin magnetization is 0.022 μB per formula unit. As for the space-group type: Imm2.

```
11
Lattice="-1.8945 8.6924 5.6617 1.8945 -8.6924 5.6617 1.8945 8.6924 -5.6617" Properties=species:S:1:pos:R:3 pbc="T T T"
La 0.0000 0.0000 0.0000
La 1.8945 -2.4349 3.1946
La 1.8945 2.4349 3.1946
La 1.8945 6.9560 0.7609
La 0.0000 5.6619 3.6547
La 0.0000 1.7363 6.4226
La 0.0000 11.7229 3.6547
Nd 0.0000 3.8897 0.6394
Nd 0.0000 13.4950 0.6394
Zn 0.0000 0.0000 3.5798
Zn 0.0000 8.6924 2.8766
```

***

PmPuTh2 | GGA-PBE | relaxed

Results
The excess energy over the best structure of this formula in the dataset is 0.000 eV/atom. The value obtained for the calculated formation energy is 45 kJ/mol of formula units. The value obtained for the spin magnetization is 5.228 μB per formula unit. As for the space-group type: P4/mmm.

```
4
Lattice="3.5568 0.0000 0.0000 0.0000 3.5568 0.0000 0.0000 0.0000 9.7409" Properties=species:S:1:pos:R:3 pbc="T T T"
Pm 0.0000 0.0000 0.0000
Pu 0.0000 0.0000 4.8705
Th 1.7784 1.7784 2.6137
Th 1.7784 1.7784 7.1272
```

***

| no. | DOS(E_F) (states/eV/f.u.) |
| --- | --- |
| 1 | 17.316 |
| 2 | 3.389 |
| 3 | 2.382 |
| 4 | 1.873 |
| 5 | 6.068 |
| 6 | 11.260 |
| 7 | 15.981 |
| 8 | 10.095 |